# 1
AlCu2SbIr: relaxed, PBE.

extended XYZ file:
```
5
Lattice="-2.075 3.770 0.664 -3.477 -2.423 2.885 2.435 0.717 3.538" Properties=species:S:1:pos:R:3 pbc="T T T"
Cu -1.038 1.885 0.332
Cu 1.217 0.359 1.769
Sb -1.739 -1.211 1.442
Ir -1.559 1.032 3.543
Al 0.000 0.000 0.000
```

density of states at the Fermi level: 3.52 states/eV/f.u.
calculated total energy: -3.877 eV/atom
magnetic moment: 0.00 μB/atom
formation energy from raw total energies: 1107 meV/atom

***

# 2
Sc4AlCu2Ir: relaxed, PBE.

extended XYZ file:
```
8
Lattice="-1.568 -0.992 -4.261 -2.621 -3.775 -0.691 -7.677 2.524 -0.297" Properties=species:S:1:pos:R:3 pbc="T T T"
Ir -5.933 -1.122 -2.624
Sc -6.630 -3.169 -4.426
Sc -8.172 0.345 -2.142
Sc -5.237 0.926 -0.823
Sc -3.694 -2.588 -3.107
Al 0.000 0.000 0.000
Cu -9.067 -1.573 -3.900
Cu -2.799 -0.671 -1.348
```

density of states at the Fermi level: 4.09 states/eV/f.u.
calculated total energy: -6.314 eV/atom
calculated formation energy: -4.39 eV/f.u.
magnetic moment: 0.00 μB/atom

***

# 3
AlCuIr2Se: relaxed, PBE.

extended XYZ file:
```
5
Lattice="-0.768 -3.905 -2.312 -1.163 -1.910 3.612 -4.360 1.286 -0.724" Properties=species:S:1:pos:R:3 pbc="T T T"
Ir -2.180 0.643 -0.362
Ir -0.384 -1.953 -1.156
Se -3.145 -2.265 0.288
Cu 0.000 0.000 0.000
Al -0.581 -0.955 1.806
```

density of states at the Fermi level: 4.42 states/eV/f.u.
calculated total energy: -4.768 eV/atom
magnetic moment: 0.00 μB/atom
formation energy from raw total energies: 1042 meV/atom

***

# 4
Sm2Al4Cu3Ir: relaxed, PBE.

extended XYZ file:
```
10
Lattice="4.184 0.000 0.000 0.000 4.184 0.000 0.000 0.000 10.298" Properties=species:S:1:pos:R:3 pbc="T T T"
Al 0.000 0.000 0.000
Al 2.092 2.092 0.000
Al 0.000 2.092 3.829
Al 2.092 0.000 6.469
Cu 2.092 0.000 8.925
Cu 0.000 2.092 1.373
Cu 0.000 0.000 5.149
Ir 2.092 2.092 5.149
Sm 0.000 2.092 7.681
Sm 2.092 0.000 2.616
```

density of states at the Fermi level: 6.22 states/eV/f.u.
calculated total energy: -5.072 eV/atom
calculated formation energy: -5.16 eV/f.u.
magnetic moment: 0.00 μB/atom

***

# 5
Ta2AlCuIr: relaxed, PBE.

extended XYZ file:
```
5
Lattice="-1.862 -1.888 -3.698 1.250 -4.115 1.471 -3.958 -0.415 2.205" Properties=species:S:1:pos:R:3 pbc="T T T"
Cu 0.000 0.000 0.000
Ta -0.931 -0.944 -1.849
Ta -1.979 -0.207 1.102
Ir 0.625 -2.058 0.736
Al -2.285 -3.209 -0.011
```

density of states at the Fermi level: 3.69 states/eV/f.u.
calculated total energy: -7.065 eV/atom
calculated formation energy: 5.08 eV/f.u.
magnetic moment: 0.00 μB/atom

***

# 6
TaAlCuIr: relaxed, PBE.

extended XYZ file:
```
4
Lattice="-1.526 -2.581 -3.198 2.406 -3.375 -1.430 -1.235 -4.109 0.900" Properties=species:S:1:pos:R:3 pbc="T T T"
Ir -0.267 -7.548 -2.796
Cu -0.089 -2.516 -0.932
Ta -0.178 -5.032 -1.864
Al 0.000 0.000 0.000
```

density of states at the Fermi level: 0.66 states/eV/f.u.
calculated total energy: -7.627 eV/atom
calculated formation energy: -1.95 eV/f.u.
magnetic moment: 0.00 μB/atom

***

# 7
Tb2Al4CuIr3: relaxed, PBE.

extended XYZ file:
```
10
Lattice="4.126 0.000 0.000 0.000 4.126 0.000 0.000 0.000 10.599" Properties=species:S:1:pos:R:3 pbc="T T T"
Al 0.000 0.000 0.000
Al 2.063 0.000 6.641
Al 2.063 2.063 0.000
Al 0.000 2.063 3.958
Ir 2.063 0.000 9.129
Ir 0.000 2.063 1.470
Ir 0.000 0.000 5.300
Cu 2.063 2.063 5.300
Tb 2.063 0.000 2.651
Tb 0.000 2.063 7.948
```

density of states at the Fermi level: 7.22 states/eV/f.u.
calculated total energy: -6.253 eV/atom
calculated formation energy: -7.62 eV/f.u.
magnetic moment: 0.00 μB/atom

***

# 8
TmAlCuIr: relaxed, PBE.

extended XYZ file:
```
4
Lattice="4.550 0.000 0.000 2.275 3.940 0.000 2.275 1.313 3.715" Properties=species:S:1:pos:R:3 pbc="T T T"
Al 0.000 0.000 0.000
Cu 2.275 1.313 0.929
Ir 6.825 3.940 2.786
Tm 4.550 2.627 1.857
```

density of states at the Fermi level: 2.40 states/eV/f.u.
calculated total energy: -5.862 eV/atom
calculated formation energy: -2.28 eV/f.u.
magnetic moment: 0.00 μB/atom